Sm2ZnCu: optimized geometry, PBE-GGA.

Values from the calculation:
Calculated formation energy = -246 meV per atom

Unit cell a=3.596 b=3.596 c=7.187 alpha=90.00 beta=90.00 gamma=90.00
Atoms (fractional coordinates):
Zn (0.500, 0.500, 0.500)
Cu (0.500, 0.500, 0.000)
Sm (0.000, 0.000, 0.756)
Sm (0.000, 0.000, 0.244)

---

Mn2FeOs: optimized geometry, PBE-GGA.

Values from the calculation:
Calculated formation energy = 164 meV per atom

Unit cell a=3.995 b=2.574 c=4.947 alpha=77.19 beta=90.00 gamma=90.00
Last column: magnetic moment on the atom in μB.
Atoms (fractional coordinates):
Fe (0.500, 0.750, 0.750)  2.27
Mn (0.000, 0.973, 0.993)  1.91
Mn (0.000, 0.527, 0.507)  1.91
Os (0.500, 0.250, 0.250)  -0.10

---

TaTiS6: optimized geometry, PBE-GGA.

Values from the calculation:
Energy relative to the elements, uncorrected = -0.65 eV/atom

Unit cell a=6.117 b=6.100 c=7.086 alpha=54.56 beta=54.67 gamma=58.38
Atoms (fractional coordinates):
Ta (0.500, 0.500, 0.500)
Ti (0.000, 0.000, 0.000)
S (0.046, 0.450, 0.752)
S (0.639, 0.127, 0.862)
S (0.629, 0.137, 0.363)
S (0.361, 0.873, 0.138)
S (0.954, 0.550, 0.248)
S (0.371, 0.863, 0.637)

---

CsSbP: optimized geometry, PBE-GGA.

Values from the calculation:
Distance to the lowest polymorph of the same formula = 0.0279 eV/atom
Energy relative to the elements, uncorrected = -0.28 eV/atom

Unit cell a=5.732 b=7.903 c=11.418 alpha=90.00 beta=104.32 gamma=90.00
Atoms (fractional coordinates):
Cs (0.402, 0.000, 0.315)
Cs (0.402, 0.500, 0.815)
Cs (0.516, 0.000, 0.722)
Cs (0.516, 0.500, 0.222)
Sb (0.862, 0.822, 0.047)
Sb (0.862, 0.178, 0.047)
Sb (0.862, 0.322, 0.547)
Sb (0.862, 0.678, 0.547)
P (0.258, 0.635, 0.490)
P (0.258, 0.365, 0.490)
P (0.258, 0.135, 0.990)
P (0.258, 0.865, 0.990)

---

Sm2Pu3PaTe6: optimized geometry, PBE-GGA.

Values from the calculation:
Energy relative to the elements, uncorrected = -0.95 eV/atom

Unit cell a=4.125 b=10.503 c=9.504 alpha=110.35 beta=102.53 gamma=90.00
Last column: magnetic moment on the atom in μB.
Atoms (fractional coordinates):
Sm (0.857, 0.691, 0.714)  -0.10
Sm (0.143, 0.309, 0.286)  -0.10
Pu (0.500, 0.500, 0.000)  -5.64
Pu (0.677, 0.832, 0.354)  -5.57
Pu (0.323, 0.168, 0.646)  -5.57
Pa (0.500, 0.000, 0.000)  -1.40
Te (0.315, 0.874, 0.630)  0.06
Te (0.671, 0.538, 0.342)  0.05
Te (0.685, 0.126, 0.370)  0.06
Te (0.036, 0.779, 0.073)  0.07
Te (0.964, 0.221, 0.927)  0.07
Te (0.329, 0.462, 0.658)  0.05

---

ScVRe2Pd: optimized geometry, PBE-GGA.

Values from the calculation:
Calculated formation energy = 2034 meV per atom

Unit cell a=4.575 b=4.267 c=4.575 alpha=90.00 beta=90.00 gamma=90.00
Atoms (fractional coordinates):
Sc (0.000, 0.000, 0.000)
Re (0.000, 0.000, 0.500)
Re (0.500, 0.000, 0.000)
Pd (0.500, 0.500, 0.500)
V (0.000, 0.500, 0.000)

---

KZrAl2: optimized geometry, PBE-GGA.

Values from the calculation:
Calculated formation energy = 755 meV per atom
Distance to the lowest polymorph of the same formula = 0.7589 eV/atom

Unit cell a=5.157 b=5.157 c=10.603 alpha=75.92 beta=75.92 gamma=90.00
Last column: magnetic moment on the atom in μB.
Atoms (fractional coordinates):
K (0.500, 0.500, 0.000)  0.01
K (0.250, 0.750, 0.500)  0.01
Al (0.801, 0.125, 0.250)  0.00
Al (0.949, 0.625, 0.250)  0.00
Al (0.375, 0.199, 0.750)  0.00
Al (0.875, 0.051, 0.750)  0.00
Zr (0.000, 0.000, 0.000)  0.29
Zr (0.750, 0.250, 0.500)  0.30

---

FePCl: optimized geometry, PBE-GGA.

Values from the calculation:
Distance to the lowest polymorph of the same formula = 0.0000 eV/atom
Energy relative to the elements, uncorrected = -0.41 eV/atom

Unit cell a=10.163 b=10.163 c=10.163 alpha=161.64 beta=158.17 gamma=28.67
Last column: magnetic moment on the atom in μB.
Atoms (fractional coordinates):
Fe (0.319, 0.819, 0.500)  0.94
Fe (0.681, 0.181, 0.500)  0.94
P (0.238, 0.238, 0.000)  -0.05
P (0.762, 0.762, 0.000)  -0.05
Cl (0.598, 0.598, 0.000)  0.05
Cl (0.402, 0.402, 0.000)  0.05

---

Calculated magnetic moment, 0.00 6.03 0.00 0.00 20.00 0.00 1.22 1.90 μB/cell (same order as the records).
Calculated uncorrected energy, -3.948 -9.344 -6.213 -3.738 -7.685 -7.073 -3.528 -5.651 eV per atom (same order as the records).